Entry 1:
Below is an optimized crystal structure of HfNpS3, with properties calculated at the GGA-PBE level.

Cell and atoms, written as extended XYZ:
```
10
Lattice="6.808 -1.835 0.000 6.808 1.835 0.000 -6.043 0.000 8.350" Properties=species:S:1:pos:R:3 pbc="T T T"
Hf 2.495 0.000 1.172
Hf 5.078 0.000 7.177
Np 2.152 0.000 4.830
Np 5.420 0.000 3.520
S -2.495 0.000 5.522
S 0.404 0.000 2.590
S 4.968 0.000 0.482
S 2.604 0.000 7.868
S 7.169 0.000 5.760
S 10.068 0.000 2.827
```

## Properties
Symmetry   C2/m (12)
Formation energy (no corrections)   -7.3 eV per formula unit

=====

Entry 2:
Below is an optimized crystal structure of YPuTe, with properties calculated at the GGA-PBE level.

Cell and atoms, written as extended XYZ:
```
6
Lattice="3.913 0.000 0.000 0.000 3.913 0.000 0.000 0.000 11.261" Properties=species:S:1:pos:R:3 pbc="T T T"
Y 0.000 0.000 0.000
Y 1.956 1.956 5.631
Pu 0.000 0.000 7.807
Pu 1.956 1.956 2.177
Te 0.000 0.000 4.040
Te 1.956 1.956 9.670
```

## Properties
Symmetry   I4mm (107)
Formation energy (no corrections)   -1.7 eV per formula unit

=====

Entry 3:
Below is an optimized crystal structure of AgO2F2, with properties calculated at the GGA-PBE level.

Cell and atoms, written as extended XYZ:
```
5
Lattice="4.160 0.000 0.000 0.000 4.160 0.000 0.000 0.000 4.075" Properties=species:S:1:pos:R:3 pbc="T T T"
Ag 0.000 0.000 0.000
O 0.000 0.000 2.037
O 2.080 2.080 2.037
F 0.000 2.080 0.000
F 2.080 0.000 0.000
```

## Properties
Symmetry   P4/mmm (123)
Formation energy (no corrections)   1.5 eV per formula unit

=====

Entry 4:
Below is an optimized crystal structure of Tc2MoIrOs, with properties calculated at the GGA-PBE level.

Cell and atoms, written as extended XYZ:
```
5
Lattice="4.601 0.000 0.000 0.000 4.601 0.000 0.000 0.000 4.644" Properties=species:S:1:pos:R:3 pbc="T T T"
Tc 0.000 2.301 0.000
Tc 2.301 0.000 0.000
Mo 0.000 0.000 2.322
Ir 0.000 0.000 0.000
Os 2.301 2.301 2.322
```

## Properties
Energy of formation from the pure elements   2.144 eV/atom
Symmetry   P4/mmm (123)

=====

Entry 5:
Below is an optimized crystal structure of Al2TlSb2O7, with properties calculated at the GGA-PBE level.

Cell and atoms, written as extended XYZ:
```
12
Lattice="2.734 1.578 7.954 -2.734 1.578 7.954 0.000 -3.157 7.954" Properties=species:S:1:pos:R:3 pbc="T T T"
Al 0.000 0.000 1.738
Al 0.000 0.000 22.123
Tl 0.000 0.000 11.931
Sb 0.000 0.000 6.621
Sb 0.000 0.000 17.240
O 0.000 0.000 0.000
O -1.049 -1.837 10.287
O -1.066 -1.827 13.574
O -1.066 1.827 10.287
O -1.049 1.837 13.574
O 2.115 0.010 10.287
O 2.115 -0.010 13.574
```

## Properties
Symmetry   R32 (155)
Formation energy (no corrections)   -22.0 eV per formula unit

=====

Entry 6:
Below is an optimized crystal structure of Mg2ScHgN, with properties calculated at the GGA-PBE level.

Cell and atoms, written as extended XYZ:
```
5
Lattice="4.449 0.000 0.000 0.000 4.449 0.000 0.000 0.000 4.301" Properties=species:S:1:pos:R:3 pbc="T T T"
Mg 0.000 2.224 0.000
Mg 2.224 0.000 0.000
Sc 0.000 0.000 2.150
Hg 2.224 2.224 2.150
N 0.000 0.000 0.000
```

## Properties
Symmetry   P4/mmm (123)
Formation energy (no corrections)   -3.2 eV per formula unit

=====

Entry 7:
Below is an optimized crystal structure of NdHo2Ti, with properties calculated at the GGA-PBE level.

Cell and atoms, written as extended XYZ:
```
4
Lattice="3.393 0.000 0.000 0.000 3.393 0.000 0.000 0.000 9.809" Properties=species:S:1:pos:R:3 pbc="T T T"
Nd 0.000 0.000 0.000
Ho 1.696 1.696 2.831
Ho 1.696 1.696 6.978
Ti 0.000 0.000 4.905
```

## Properties
Energy of formation from the pure elements   0.156 eV/atom
Symmetry   P4/mmm (123)

=====

Entry 8:
Below is an optimized crystal structure of AgPtSe2N, with properties calculated at the GGA-PBE level.

Cell and atoms, written as extended XYZ:
```
5
Lattice="5.292 0.000 0.000 0.000 5.292 0.000 0.000 0.000 3.654" Properties=species:S:1:pos:R:3 pbc="T T T"
Ag 0.000 0.000 0.000
Pt 2.646 2.646 1.827
Se 0.000 2.646 1.827
Se 2.646 0.000 1.827
N 2.646 2.646 0.000
```

## Properties
Symmetry   P4/mmm (123)
Formation energy (no corrections)   3.0 eV per formula unit

=====

Entry 9:
Below is an optimized crystal structure of YRe2Cl, with properties calculated at the GGA-PBE level.

Cell and atoms, written as extended XYZ:
```
8
Lattice="11.298 0.000 0.000 0.000 3.290 0.000 -0.033 0.000 4.297" Properties=species:S:1:pos:R:3 pbc="T T T"
Y 0.000 0.000 0.000
Y 5.649 1.645 0.000
Re 2.500 1.645 3.471
Re 3.116 0.000 0.826
Re 8.149 0.000 3.471
Re 8.765 1.645 0.826
Cl -0.016 1.645 2.149
Cl 5.632 0.000 2.149
```

## Properties
Symmetry   C2/m (12)
Formation energy (no corrections)   0.4 eV per formula unit

=====

Entry 10:
Below is an optimized crystal structure of CaMgAl2Tc, with properties calculated at the GGA-PBE level.

Cell and atoms, written as extended XYZ:
```
5
Lattice="4.803 0.000 0.000 0.000 4.803 0.000 0.000 0.000 5.022" Properties=species:S:1:pos:R:3 pbc="T T T"
Ca 0.000 0.000 0.000
Mg 2.401 2.401 0.000
Al 0.000 2.401 2.511
Al 2.401 0.000 2.511
Tc 2.401 2.401 2.511
```

## Properties
Energy of formation from the pure elements   -0.064 eV/atom
Symmetry   P4/mmm (123)

=====

Entry 11:
Below is an optimized crystal structure of Zr2FeCl, with properties calculated at the GGA-PBE level.

Cell and atoms, written as extended XYZ:
```
8
Lattice="4.413 0.000 0.000 0.000 3.121 0.000 0.000 0.000 10.185" Properties=species:S:1:pos:R:3 pbc="T T T"
Zr 0.000 0.000 0.000
Zr 0.000 1.561 5.092
Zr 2.206 0.000 2.696
Zr 2.206 1.561 7.788
Fe 0.000 0.000 7.565
Fe 0.000 1.561 2.473
Cl 2.206 0.000 5.313
Cl 2.206 1.561 0.220
```

## Properties
Symmetry   Amm2 (38)
Formation energy (no corrections)   -0.7 eV per formula unit

=====

Entry 12:
Below is an optimized crystal structure of K3BaP, with properties calculated at the GGA-PBE level.

Cell and atoms, written as extended XYZ:
```
5
Lattice="6.463 0.000 0.000 0.000 6.463 0.000 0.000 0.000 6.463" Properties=species:S:1:pos:R:3 pbc="T T T"
K 0.000 0.000 3.231
K 0.000 3.231 0.000
K 3.231 0.000 0.000
Ba 3.231 3.231 3.231
P 0.000 0.000 0.000
```

## Properties
Energy of formation from the pure elements   0.079 eV/atom
Symmetry   Pm-3m (221)

=====

These records have mass density values of 8.1, 8.9, 4.2, 11.4, 5.0, 6.0, 7.7, 7.7, 10.3, 3.1, 6.5, 1.8 g cm⁻³, in the order they appear.